Here is a relaxed structure of Li3Tm2AlCu12 from Alexandria via LeMat-Bulk. Energies are from PBE.

Properties
DFT total energy = -0.1385 Ha/atom
total moment = 0.000 μB per atom

Structure (CIF):
```
data_Li3Tm2AlCu12
_chemical_formula_sum 'Li9 Tm6 Al3 Cu36'
_cell_length_a 8.6269
_cell_length_b 8.6269
_cell_length_c 12.4209
_cell_angle_alpha 90.00
_cell_angle_beta 90.00
_cell_angle_gamma 120.00
_space_group_name_H-M_alt 'R -3 m'
_space_group_IT_number 166
_space_group_name_Hall '-R 3 2"'
loop_
_atom_site_label
_atom_site_type_symbol
_atom_site_fract_x
_atom_site_fract_y
_atom_site_fract_z
Li1 Li 0.0000 0.5000 0.0000
Tm1 Tm 0.0000 0.0000 0.2131
Al1 Al 0.0000 0.0000 0.5000
Cu1 Cu 0.0181 0.5091 0.2096
Cu2 Cu 0.0467 0.5233 0.5988
```